# 1
Compound: YIr
Source: Alexandria
Functional: GGA-PBE
Structure: relaxed

Cell and atoms, written as POSCAR:
```
YIr
1.0
1.698 5.218 0.412
-1.698 5.218 0.412
0.000 3.036 7.388
Y Ir
3 3
Cartesian
0.000 11.330 4.722
0.000 7.854 1.724
0.000 3.523 6.496
0.000 4.977 2.057
0.000 8.542 4.409
0.000 6.434 6.598
```


# 2
Compound: Y4Ir5
Source: Alexandria
Functional: GGA-PBE
Structure: relaxed

Cell and atoms, written as POSCAR:
```
Y4Ir5
1.0
8.367 0.000 0.000
-4.183 7.246 0.000
0.000 0.000 5.883
Y Ir
8 10
Cartesian
-1.557 2.697 1.471
1.557 2.697 4.413
3.115 0.000 1.471
0.000 0.000 2.942
-2.626 4.548 4.413
0.000 0.000 0.000
2.626 4.548 1.471
5.252 0.000 4.413
5.823 0.000 1.471
0.000 4.830 2.942
-2.912 5.043 1.471
0.000 4.830 0.000
1.272 2.202 1.471
-1.272 2.202 4.413
2.912 5.043 4.413
4.183 2.415 2.942
4.183 2.415 0.000
2.543 0.000 4.413
```

Values from the calculation:
Polymorph energy (0 for the lowest one), eV per atom: 0.0901


# 3
Compound: YIr
Source: Alexandria
Functional: GGA-PBE
Structure: relaxed

Cell and atoms, written as POSCAR:
```
YIr
1.0
-2.120 -2.280 2.264
2.516 -1.543 -2.470
5.117 0.259 5.053
Ir Y
2 2
Cartesian
2.250 -1.724 0.371
3.264 -1.840 4.475
2.559 0.129 2.526
0.000 0.000 0.000
```


# 4
Compound: YIr
Source: Alexandria
Functional: GGA-PBE
Structure: relaxed

Cell and atoms, written as POSCAR:
```
YIr
1.0
5.658 0.000 0.000
0.000 5.658 0.000
0.000 0.000 5.666
Y Ir
4 4
Cartesian
4.021 1.637 0.000
4.466 4.466 2.833
1.637 4.021 0.000
1.192 1.192 2.833
1.722 3.936 2.833
1.107 1.107 0.000
3.936 1.722 2.833
4.550 4.550 0.000
```


# 5
Compound: YIr5
Source: Alexandria
Functional: GGA-PBE
Structure: relaxed

Cell and atoms, written as POSCAR:
```
YIr5
1.0
-3.650 0.369 3.742
-4.919 1.294 -1.257
-3.811 -3.583 0.305
Ir Y
5 1
Cartesian
-3.095 -0.480 0.697
-5.835 0.579 1.589
-7.725 -1.198 1.740
-5.915 -1.381 -0.115
-5.285 -1.840 2.364
0.000 0.000 0.000
```


# 6
Compound: Y2Ir
Source: Alexandria
Functional: GGA-PBE
Structure: relaxed

Cell and atoms, written as POSCAR:
```
Y2Ir
1.0
-1.712 1.712 13.613
1.712 -1.712 13.613
1.712 1.712 -13.613
Ir Y
2 4
Cartesian
0.000 0.000 0.000
0.000 1.712 6.807
0.000 0.000 15.276
0.000 0.000 11.950
1.712 0.000 8.470
1.712 0.000 5.143
```


# 7
Compound: YIr2
Source: Alexandria
Functional: GGA-PBE
Structure: relaxed

Cell and atoms, written as POSCAR:
```
YIr2
1.0
-0.480 -4.232 -1.452
2.194 -1.379 -3.679
3.414 -2.908 0.374
Ir Y
2 1
Cartesian
1.282 -2.130 -1.189
3.846 -6.389 -3.567
0.000 0.000 0.000
```


# 8
Compound: YIr
Source: Alexandria
Functional: GGA-PBE
Structure: relaxed

Cell and atoms, written as POSCAR:
```
YIr
1.0
4.061 0.000 0.000
-2.030 3.517 0.000
0.000 0.000 3.301
Ir Y
1 1
Cartesian
0.000 0.000 0.000
0.000 2.344 1.650
```


# 9
Compound: YIr
Source: Alexandria
Functional: GGA-PBE
Structure: relaxed

Cell and atoms, written as POSCAR:
```
YIr
1.0
-3.270 0.498 3.434
3.738 -2.884 0.667
2.955 4.335 2.185
Y Ir
2 2
Cartesian
2.141 -0.673 2.136
1.282 2.621 4.151
-0.195 0.454 3.058
3.618 1.494 3.228
```


# 10
Compound: Y5Ir
Source: Alexandria
Functional: GGA-PBE
Structure: relaxed

Cell and atoms, written as POSCAR:
```
Y5Ir
1.0
0.000 4.379 4.379
4.379 0.000 4.379
4.379 4.379 0.000
Y Ir
5 1
Cartesian
3.277 3.277 5.482
2.190 2.190 2.190
5.482 5.482 5.482
3.277 5.482 3.277
5.482 3.277 3.277
0.000 0.000 0.000
```

Values from the calculation:
Polymorph energy (0 for the lowest one), eV per atom: 0.8322


# 11
Compound: YIr2
Source: Alexandria
Functional: GGA-PBE
Structure: relaxed

Cell and atoms, written as POSCAR:
```
YIr2
1.0
1.484 5.185 -0.026
-1.484 5.185 -0.026
0.000 0.218 7.246
Y Ir
2 4
Cartesian
0.000 2.538 6.879
0.000 10.409 4.459
0.000 9.954 0.361
0.000 7.652 4.318
0.000 6.308 2.021
0.000 3.505 2.293
```


# 12
Compound: Y5Ir2
Source: Alexandria
Functional: GGA-PBE
Structure: relaxed

Cell and atoms, written as POSCAR:
```
Y5Ir2
1.0
-7.071 4.735 1.079
-4.746 2.423 6.722
3.392 6.276 1.174
Ir Y
4 10
Cartesian
-3.409 9.519 7.456
-1.995 5.735 5.323
-6.430 7.699 3.652
-5.016 3.915 1.519
-6.294 10.556 7.431
-2.131 2.878 1.545
-4.062 4.155 6.618
-6.991 5.021 4.062
-4.363 9.279 2.357
-8.306 7.732 6.077
-0.120 5.702 2.898
-3.669 5.812 3.018
-1.434 8.414 4.914
-4.756 7.622 5.958
```


# 13
Compound: Y5Ir
Source: Alexandria
Functional: GGA-PBE
Structure: relaxed

Cell and atoms, written as POSCAR:
```
Y5Ir
1.0
2.969 -5.142 0.000
2.969 5.142 0.000
0.000 0.000 5.904
Y Ir
5 1
Cartesian
1.484 -2.571 2.952
2.969 0.000 2.952
2.969 1.714 0.000
1.484 2.571 2.952
2.969 -1.714 0.000
0.000 0.000 0.000
```

Values from the calculation:
Polymorph energy (0 for the lowest one), eV per atom: 1.1004


# 14
Compound: Y5Ir
Source: Alexandria
Functional: GGA-PBE
Structure: relaxed

Cell and atoms, written as POSCAR:
```
Y5Ir
1.0
-6.372 5.189 -1.813
5.725 -5.863 -1.912
-3.541 -3.888 1.319
Y Ir
5 1
Cartesian
-5.766 1.073 -1.173
2.243 -6.243 -1.239
1.576 -2.073 -1.878
-1.547 0.780 -1.853
-1.759 -2.587 -1.206
-6.033 4.879 -1.816
```

Values from the calculation:
Polymorph energy (0 for the lowest one), eV per atom: 0.1291


# 15
Compound: YIr
Source: Alexandria
Functional: GGA-PBE
Structure: relaxed

Cell and atoms, written as POSCAR:
```
YIr
1.0
3.930 0.000 0.000
0.000 3.930 0.000
0.000 0.000 5.779
Y Ir
2 2
Cartesian
1.965 1.965 4.741
0.000 0.000 2.482
0.000 0.000 5.395
1.965 1.965 1.829
```


# 16
Compound: YIr2
Source: Alexandria
Functional: GGA-PBE
Structure: relaxed

Cell and atoms, written as POSCAR:
```
YIr2
1.0
1.454 5.228 0.003
-1.454 5.228 0.003
0.000 2.637 7.135
Y Ir
2 4
Cartesian
0.000 5.239 4.526
0.000 7.854 2.615
0.000 9.343 7.040
0.000 3.750 0.101
0.000 2.523 5.305
0.000 10.570 1.836
```


# 17
Compound: Y2Ir
Source: Alexandria
Functional: GGA-PBE
Structure: relaxed

Cell and atoms, written as POSCAR:
```
Y2Ir
1.0
6.874 0.000 0.000
0.000 6.874 0.000
0.000 0.000 6.874
Y Ir
8 4
Cartesian
5.729 1.145 4.582
5.729 2.292 1.145
2.292 2.292 2.292
1.145 4.582 5.729
4.582 4.582 4.582
2.292 1.145 5.729
4.582 5.729 1.145
1.145 5.729 2.292
0.000 0.000 0.000
3.437 0.000 3.437
3.437 3.437 0.000
0.000 3.437 3.437
```


# 18
Compound: YIr5
Source: Alexandria
Functional: GGA-PBE
Structure: relaxed

Cell and atoms, written as POSCAR:
```
YIr5
1.0
-5.796 0.902 -4.958
4.046 -2.985 5.806
-2.008 2.852 2.865
Y Ir
1 5
Cartesian
1.961 -1.132 6.057
-5.683 0.857 -4.835
0.792 -1.700 2.248
-2.646 -0.342 -1.514
-1.288 0.151 2.503
-4.678 1.490 -1.205
```


# 19
Compound: Y5Ir3
Source: Alexandria
Functional: GGA-PBE
Structure: relaxed

Cell and atoms, written as POSCAR:
```
Y5Ir3
1.0
3.764 -5.256 0.000
3.764 5.256 0.000
0.000 0.000 4.679
Y Ir
5 3
Cartesian
0.000 0.000 0.000
1.882 2.628 0.000
2.165 0.000 2.339
1.882 -2.628 0.000
5.363 0.000 2.339
3.764 0.000 0.000
3.764 3.277 2.339
3.764 -3.277 2.339
```

Values from the calculation:
Polymorph energy (0 for the lowest one), eV per atom: 0.2244


# 20
Compound: YIr
Source: Alexandria
Functional: GGA-PBE
Structure: relaxed

Cell and atoms, written as POSCAR:
```
YIr
1.0
-4.326 1.511 1.826
0.288 -4.275 -2.443
1.556 -3.800 6.833
Ir Y
4 4
Cartesian
-1.370 -3.878 6.626
-1.111 -2.686 -0.410
-0.611 -3.907 1.787
-1.871 -2.657 4.429
1.167 -2.850 5.125
-2.399 -1.368 2.111
-0.083 -5.196 4.105
0.389 -0.950 1.708
```


# 21
Compound: YIr2
Source: Alexandria
Functional: GGA-PBE
Structure: relaxed

Cell and atoms, written as POSCAR:
```
YIr2
1.0
-1.848 -0.629 -7.203
-3.648 -3.984 5.149
-3.005 3.368 0.477
Y Ir
3 6
Cartesian
-1.502 1.684 0.238
-2.448 -1.747 -3.085
-3.048 -2.865 1.032
-4.928 -1.192 -1.042
-0.959 -1.047 1.353
-2.198 1.447 -2.474
-2.876 0.183 2.178
-0.486 -0.165 -1.893
-4.051 -3.400 -1.514
```


# 22
Compound: YIr
Source: Alexandria
Functional: GGA-PBE
Structure: relaxed

Cell and atoms, written as POSCAR:
```
YIr
1.0
-2.561 -1.703 -4.592
4.766 0.328 -2.779
1.129 -5.247 1.316
Y Ir
4 4
Cartesian
3.961 -3.466 -3.701
1.535 -5.670 -2.627
0.275 -0.545 -0.499
0.897 -3.563 -5.282
3.603 -4.754 -0.813
-1.276 -4.600 -3.667
1.383 -2.747 -2.512
2.958 -1.143 -5.117
```


# 23
Compound: Y2Ir
Source: Alexandria
Functional: GGA-PBE
Structure: relaxed

Cell and atoms, written as POSCAR:
```
Y2Ir
1.0
-5.343 -2.446 -4.008
-2.217 -2.883 -6.113
-0.815 -6.807 0.202
Y Ir
4 2
Cartesian
-2.248 -6.215 -2.048
-4.271 -7.689 -4.746
-4.105 -4.447 -5.173
-6.128 -5.921 -7.871
-7.126 -8.545 -8.808
-1.250 -3.590 -1.111
```


# 24
Compound: Y4Ir
Source: Alexandria
Functional: GGA-PBE
Structure: relaxed

Cell and atoms, written as POSCAR:
```
Y4Ir
1.0
-1.961 1.961 9.460
1.961 -1.961 9.460
1.961 1.961 -9.460
Ir Y
1 4
Cartesian
0.000 0.000 0.000
1.961 0.000 4.730
0.000 0.000 10.976
0.000 0.000 7.943
0.000 1.961 4.730
```

Values from the calculation:
Polymorph energy (0 for the lowest one), eV per atom: 0.7824


# 25
Compound: YIr6
Source: Alexandria
Functional: GGA-PBE
Structure: relaxed

Cell and atoms, written as POSCAR:
```
YIr6
1.0
-5.065 -2.301 1.957
3.914 0.170 4.408
-0.963 5.468 -1.987
Ir Y
6 1
Cartesian
-3.302 1.051 1.576
-2.082 -0.273 3.175
-2.276 2.994 0.590
0.163 0.345 3.788
-0.031 3.611 1.203
1.188 2.287 2.802
0.000 0.000 0.000
```


# 26
Compound: YIr4
Source: Alexandria
Functional: GGA-PBE
Structure: relaxed

Cell and atoms, written as POSCAR:
```
YIr4
1.0
-2.263 5.144 3.204
-5.568 0.644 3.230
5.163 -3.796 -0.888
Y Ir
1 4
Cartesian
0.000 0.000 0.000
-4.713 3.484 3.873
-3.118 2.305 2.562
-2.160 -0.129 2.780
-0.508 2.121 2.767
```

Values from the calculation:
Polymorph energy (0 for the lowest one), eV per atom: 0.0000


DOS(E_F) for the records above, in order: 0.7 9.8 1.0 1.2 13.4 2.3 4.8 0.8 0.6 10.5 2.4 7.6 9.1 7.7 0.3 2.9 1.6 8.4 4.7 2.4 3.4 0.5 2.6 6.6 7.1 6.2 states/eV/f.u.
DFT formation energy for the records above, in order: -0.573 -0.401 -0.328 -0.401 -0.030 -0.506 0.485 -0.411 -0.067 0.547 -0.269 -0.639 0.815 -0.156 -0.430 -0.249 -0.641 -0.036 -0.547 0.051 0.098 -0.542 -0.609 0.416 0.426 -0.213 eV per atom
Size of the total moment for the records above, in order: 0.00 0.00 0.00 0.00 0.00 0.00 0.00 0.00 0.00 0.00 0.00 0.00 0.00 0.00 0.00 0.00 0.00 0.00 0.00 0.00 0.00 0.00 0.00 0.00 0.00 0.00 μB/cell